Record 1
Here is a geometry-optimized KSmSeO structure from OQMD via LeMat-Bulk. Energies are from PBE-GGA.

Unit cell a=4.677 b=8.203 c=6.650 alpha=90.00 beta=90.00 gamma=90.00
Space group Pmc2_1 (No. 26)
Symmetry-distinct sites (fractional):
K  0.000  0.204  0.000 (multiplicity 2)
Sm  0.500  0.374  0.417 (multiplicity 2)
Se  0.000  0.198  0.515 (multiplicity 2)
O  0.500  0.404  0.092 (multiplicity 2)

Summary:
Its magnetic moment is 0.00 μB/cell. For the calculated density, the calculation gives 3.70 g/cm3. The total energy is -5.67 eV/atom. Its offset from the most stable computed form is 0.50 eV/f.u. The crystal system is orthorhombic.


Record 2
Here is a geometry-optimized ZnGe structure from OQMD via LeMat-Bulk. Energies are from PBE-GGA.

Unit cell a=7.946 b=5.267 c=10.354 alpha=90.00 beta=90.83 gamma=90.00
Space group Pm (No. 6)
Symmetry-distinct sites (fractional):
Zn  0.000  0.000  0.000 (multiplicity 1)
Zn  0.003  0.500  0.774 (multiplicity 1)
Zn  0.015  0.500  0.243 (multiplicity 1)
Zn  0.218  0.000  0.498 (multiplicity 1)
Zn  0.330  0.000  0.989 (multiplicity 1)
Zn  0.349  0.500  0.241 (multiplicity 1)
Zn  0.481  0.000  0.251 (multiplicity 1)
Zn  0.508  0.500  0.999 (multiplicity 1)
Zn  0.537  0.500  0.483 (multiplicity 1)
Zn  0.785  0.000  0.782 (multiplicity 1)
Zn  0.817  0.000  0.275 (multiplicity 1)
Zn  0.836  0.500  0.002 (multiplicity 1)
Ge  0.112  0.000  0.750 (multiplicity 1)
Ge  0.151  0.000  0.235 (multiplicity 1)
Ge  0.179  0.500  0.006 (multiplicity 1)
Ge  0.202  0.500  0.467 (multiplicity 1)
Ge  0.325  0.500  0.717 (multiplicity 1)
Ge  0.458  0.000  0.745 (multiplicity 1)
Ge  0.553  0.000  0.498 (multiplicity 1)
Ge  0.666  0.000  0.033 (multiplicity 1)
Ge  0.668  0.500  0.767 (multiplicity 1)
Ge  0.686  0.500  0.240 (multiplicity 1)
Ge  0.869  0.500  0.526 (multiplicity 1)
Ge  0.882  0.000  0.527 (multiplicity 1)

Summary:
For the calculated density, the calculation gives 6.35 g/cm3. The total energy is -2.73 eV/atom. The crystal system is monoclinic.


Record 3
Here is a geometry-optimized ZrAlCu2 structure from OQMD via LeMat-Bulk. Energies are from PBE-GGA.

Unit cell a=6.267 b=6.267 c=6.267 alpha=90.00 beta=90.00 gamma=90.00
Space group F-43m (No. 216)
Symmetry-distinct sites (fractional):
Zr  0.000  0.000  0.000 (multiplicity 4)
Al  0.250  0.250  0.750 (multiplicity 4)
Cu  0.000  0.000  0.500 (multiplicity 4)
Cu  0.250  0.250  0.250 (multiplicity 4)

Summary:
Its magnetic moment is 0.01 μB/cell. For the calculated density, the calculation gives 6.62 g/cm3. The total energy is -5.10 eV/atom. The crystal system is cubic.


Record 4
Here is a geometry-optimized Pm7PtBr12 structure from OQMD via LeMat-Bulk. Energies are from PBE-GGA.

Unit cell a=15.2316 b=15.2316 c=10.2741 alpha=90.00 beta=90.00 gamma=120.00
Space group R-3 (No. 148, hexagonal axes)
Symmetry-distinct sites (fractional):
Pm  0.0000  0.0000  0.0000 (multiplicity 3)
Pm  0.0424  0.8762  0.3438 (multiplicity 18)
Pt  0.0000  0.0000  0.5000 (multiplicity 3)
Br  0.0243  0.4396  0.1608 (multiplicity 18)
Br  0.0471  0.8673  0.8423 (multiplicity 18)

Summary:
Its magnetic moment is 2.99 μB/cell. For the calculated density, the calculation gives 5.23 g/cm3. The total energy is -4.63 eV/atom. The crystal system is trigonal.